Entry 1:
VASP calculation (PBE) on an optimized crystal structure of ScCdPd2Br.

Calculated values
E_tot   -3.408 eV per atom
Calculated density   5.65 g/cm3
Formation energy (no corrections)   0.4532 eV/atom
Total moment   0.07 μB per atom
V   132.2 Å³/cell
Space-group type   P4/mmm

The structure in CIF format:
```
data_ScCdPd2Br
_chemical_formula_sum 'Sc1 Cd1 Pd2 Br1'
_space_group_name_H-M_alt 'P 1'
_space_group_IT_number 1
_space_group_name_Hall 'P 1'
_cell_length_a 5.015
_cell_length_b 5.015
_cell_length_c 5.258
_cell_angle_alpha 90.00
_cell_angle_beta 90.00
_cell_angle_gamma 90.00
loop_
_atom_site_label
_atom_site_type_symbol
_atom_site_fract_x
_atom_site_fract_y
_atom_site_fract_z
_atom_site_occupancy
Sc1 Sc 0.000 0.000 0.000 1
Cd1 Cd 0.500 0.500 0.500 1
Pd1 Pd 0.000 0.500 0.500 1
Pd2 Pd 0.500 0.000 0.500 1
Br1 Br 0.500 0.500 0.000 1
```



Entry 2:
VASP calculation (PBE) on an optimized crystal structure of CdPdSeBr2.

Calculated values
E_tot   -2.597 eV per atom
Calculated density   5.74 g/cm3
Formation energy (no corrections)   -0.0097 eV/atom
Polymorph energy (0 for the lowest one)   0.0000 eV/atom
Total moment   0.00 μB per atom
V   132.3 Å³/cell
Space-group type   P4/mmm

The structure in CIF format:
```
data_CdPdSeBr2
_chemical_formula_sum 'Cd1 Pd1 Se1 Br2'
_space_group_name_H-M_alt 'P 1'
_space_group_IT_number 1
_space_group_name_Hall 'P 1'
_cell_length_a 5.084
_cell_length_b 5.084
_cell_length_c 5.120
_cell_angle_alpha 90.00
_cell_angle_beta 90.00
_cell_angle_gamma 90.00
loop_
_atom_site_label
_atom_site_type_symbol
_atom_site_fract_x
_atom_site_fract_y
_atom_site_fract_z
_atom_site_occupancy
Cd1 Cd 0.000 0.000 0.000 1
Pd1 Pd 0.500 0.500 0.500 1
Se1 Se 0.500 0.500 0.000 1
Br1 Br 0.000 0.500 0.500 1
Br2 Br 0.500 0.000 0.500 1
```



Entry 3:
VASP calculation (PBE) on an optimized crystal structure of CdPdSe2Br.

Calculated values
E_tot   -2.815 eV per atom
Calculated density   5.94 g/cm3
Formation energy (no corrections)   0.1349 eV/atom
Polymorph energy (0 for the lowest one)   0.0000 eV/atom
Total moment   0.00 μB per atom
V   127.6 Å³/cell
Space-group type   P4/mmm

The structure in CIF format:
```
data_CdPdSe2Br
_chemical_formula_sum 'Cd1 Pd1 Se2 Br1'
_space_group_name_H-M_alt 'P 1'
_space_group_IT_number 1
_space_group_name_Hall 'P 1'
_cell_length_a 5.005
_cell_length_b 5.005
_cell_length_c 5.094
_cell_angle_alpha 90.00
_cell_angle_beta 90.00
_cell_angle_gamma 90.00
loop_
_atom_site_label
_atom_site_type_symbol
_atom_site_fract_x
_atom_site_fract_y
_atom_site_fract_z
_atom_site_occupancy
Cd1 Cd 0.000 0.000 0.000 1
Pd1 Pd 0.500 0.500 0.500 1
Se1 Se 0.000 0.500 0.500 1
Se2 Se 0.500 0.000 0.500 1
Br1 Br 0.500 0.500 0.000 1
```



Entry 4:
VASP calculation (PBE) on an optimized crystal structure of CdSn2PdBr.

Calculated values
E_tot   -2.518 eV per atom
Calculated density   5.48 g/cm3
Formation energy (no corrections)   0.6396 eV/atom
Polymorph energy (0 for the lowest one)   0.1762 eV/atom
Total moment   0.00 μB per atom
V   162.6 Å³/cell
Space-group type   P4/mmm

The structure in CIF format:
```
data_CdSn2PdBr
_chemical_formula_sum 'Cd1 Sn2 Pd1 Br1'
_space_group_name_H-M_alt 'P 1'
_space_group_IT_number 1
_space_group_name_Hall 'P 1'
_cell_length_a 5.506
_cell_length_b 5.506
_cell_length_c 5.363
_cell_angle_alpha 90.00
_cell_angle_beta 90.00
_cell_angle_gamma 90.00
loop_
_atom_site_label
_atom_site_type_symbol
_atom_site_fract_x
_atom_site_fract_y
_atom_site_fract_z
_atom_site_occupancy
Cd1 Cd 0.000 0.000 0.000 1
Sn1 Sn 0.000 0.500 0.000 1
Sn2 Sn 0.500 0.000 0.000 1
Pd1 Pd 0.500 0.500 0.500 1
Br1 Br 0.000 0.000 0.500 1
```



Entry 5:
VASP calculation (PBE) on an optimized crystal structure of CdSn2PdBr.

Calculated values
E_tot   -2.694 eV per atom
Calculated density   5.71 g/cm3
Formation energy (no corrections)   0.4634 eV/atom
Polymorph energy (0 for the lowest one)   0.0000 eV/atom
Total moment   0.00 μB per atom
V   156.0 Å³/cell
Space-group type   P4/mmm

The structure in CIF format:
```
data_CdSn2PdBr
_chemical_formula_sum 'Cd1 Sn2 Pd1 Br1'
_space_group_name_H-M_alt 'P 1'
_space_group_IT_number 1
_space_group_name_Hall 'P 1'
_cell_length_a 5.549
_cell_length_b 5.549
_cell_length_c 5.067
_cell_angle_alpha 90.00
_cell_angle_beta 90.00
_cell_angle_gamma 90.00
loop_
_atom_site_label
_atom_site_type_symbol
_atom_site_fract_x
_atom_site_fract_y
_atom_site_fract_z
_atom_site_occupancy
Cd1 Cd 0.000 0.000 0.000 1
Sn1 Sn 0.000 0.500 0.000 1
Sn2 Sn 0.500 0.000 0.000 1
Pd1 Pd 0.000 0.000 0.500 1
Br1 Br 0.500 0.500 0.500 1
```



Entry 6:
VASP calculation (PBE) on an optimized crystal structure of TaCdPd2Br.

Calculated values
E_tot   -4.066 eV per atom
Calculated density   7.21 g/cm3
Formation energy (no corrections)   0.8994 eV/atom
Total moment   0.00 μB per atom
V   135.1 Å³/cell
Space-group type   P4/mmm

The structure in CIF format:
```
data_TaCdPd2Br
_chemical_formula_sum 'Ta1 Cd1 Pd2 Br1'
_space_group_name_H-M_alt 'P 1'
_space_group_IT_number 1
_space_group_name_Hall 'P 1'
_cell_length_a 4.883
_cell_length_b 4.883
_cell_length_c 5.665
_cell_angle_alpha 90.00
_cell_angle_beta 90.00
_cell_angle_gamma 90.00
loop_
_atom_site_label
_atom_site_type_symbol
_atom_site_fract_x
_atom_site_fract_y
_atom_site_fract_z
_atom_site_occupancy
Ta1 Ta 0.000 0.000 0.000 1
Cd1 Cd 0.000 0.000 0.500 1
Pd1 Pd 0.000 0.500 0.000 1
Pd2 Pd 0.500 0.000 0.000 1
Br1 Br 0.500 0.500 0.500 1
```



Entry 7:
VASP calculation (PBE) on an optimized crystal structure of Tl2CdPdBr6.

Calculated values
E_tot   -2.730 eV per atom
Calculated density   5.63 g/cm3
Formation energy (no corrections)   -0.6423 eV/atom
Total moment   0.00 μB per atom
V   653.3 Å³/cell
Space-group type   P2_1/c

The structure in CIF format:
```
data_Tl2CdPdBr6
_chemical_formula_sum 'Tl4 Cd2 Pd2 Br12'
_space_group_name_H-M_alt 'P 1'
_space_group_IT_number 1
_space_group_name_Hall 'P 1'
_cell_length_a 8.052
_cell_length_b 7.800
_cell_length_c 12.883
_cell_angle_alpha 90.00
_cell_angle_beta 126.16
_cell_angle_gamma 90.00
loop_
_atom_site_label
_atom_site_type_symbol
_atom_site_fract_x
_atom_site_fract_y
_atom_site_fract_z
_atom_site_occupancy
Tl1 Tl 0.231 0.053 0.244 1
Tl2 Tl 0.231 0.447 0.744 1
Tl3 Tl 0.769 0.553 0.256 1
Tl4 Tl 0.769 0.947 0.756 1
Cd1 Cd 0.000 0.000 0.500 1
Cd2 Cd 0.000 0.500 0.000 1
Pd1 Pd 0.500 0.000 0.000 1
Pd2 Pd 0.500 0.500 0.500 1
Br1 Br 0.147 0.243 0.958 1
Br2 Br 0.147 0.257 0.458 1
Br3 Br 0.269 0.747 0.945 1
Br4 Br 0.269 0.753 0.445 1
Br5 Br 0.372 0.034 0.772 1
Br6 Br 0.372 0.466 0.272 1
Br7 Br 0.628 0.534 0.728 1
Br8 Br 0.628 0.966 0.228 1
Br9 Br 0.731 0.247 0.555 1
Br10 Br 0.731 0.253 0.055 1
Br11 Br 0.853 0.743 0.542 1
Br12 Br 0.853 0.757 0.042 1
```



Entry 8:
VASP calculation (PBE) on an optimized crystal structure of Tl2CdPdBr.

Calculated values
E_tot   -1.991 eV per atom
Calculated density   5.90 g/cm3
Formation energy (no corrections)   0.5115 eV/atom
Polymorph energy (0 for the lowest one)   0.8416 eV/atom
Total moment   0.00 μB per atom
V   199.2 Å³/cell
Space-group type   P4/mmm

The structure in CIF format:
```
data_Tl2CdPdBr
_chemical_formula_sum 'Tl2 Cd1 Pd1 Br1'
_space_group_name_H-M_alt 'P 1'
_space_group_IT_number 1
_space_group_name_Hall 'P 1'
_cell_length_a 6.040
_cell_length_b 6.040
_cell_length_c 5.459
_cell_angle_alpha 90.00
_cell_angle_beta 90.00
_cell_angle_gamma 90.00
loop_
_atom_site_label
_atom_site_type_symbol
_atom_site_fract_x
_atom_site_fract_y
_atom_site_fract_z
_atom_site_occupancy
Tl1 Tl 0.000 0.500 0.000 1
Tl2 Tl 0.500 0.000 0.000 1
Cd1 Cd 0.000 0.000 0.500 1
Pd1 Pd 0.500 0.500 0.500 1
Br1 Br 0.000 0.000 0.000 1
```



Entry 9:
VASP calculation (PBE) on an optimized crystal structure of Tl2CdPdBr.

Calculated values
E_tot   -2.833 eV per atom
Calculated density   7.64 g/cm3
Formation energy (no corrections)   -0.3302 eV/atom
Polymorph energy (0 for the lowest one)   0.0000 eV/atom
Total moment   0.00 μB per atom
V   153.7 Å³/cell
Space-group type   P4/mmm

The structure in CIF format:
```
data_Tl2CdPdBr
_chemical_formula_sum 'Tl2 Cd1 Pd1 Br1'
_space_group_name_H-M_alt 'P 1'
_space_group_IT_number 1
_space_group_name_Hall 'P 1'
_cell_length_a 5.389
_cell_length_b 5.389
_cell_length_c 5.293
_cell_angle_alpha 90.00
_cell_angle_beta 90.00
_cell_angle_gamma 90.00
loop_
_atom_site_label
_atom_site_type_symbol
_atom_site_fract_x
_atom_site_fract_y
_atom_site_fract_z
_atom_site_occupancy
Tl1 Tl 0.000 0.500 0.000 1
Tl2 Tl 0.500 0.000 0.000 1
Cd1 Cd 0.000 0.000 0.500 1
Pd1 Pd 0.000 0.000 0.000 1
Br1 Br 0.500 0.500 0.500 1
```



Entry 10:
VASP calculation (PBE) on an optimized crystal structure of Pm2CdBr.

Calculated values
E_tot   -3.626 eV per atom
Calculated density   6.91 g/cm3
Formation energy (no corrections)   -0.6037 eV/atom
Polymorph energy (0 for the lowest one)   0.0489 eV/atom
Total moment   0.00 μB per atom
V   115.8 Å³/cell
Space-group type   R3m

The structure in CIF format:
```
data_Pm2CdBr
_chemical_formula_sum 'Pm2 Cd1 Br1'
_space_group_name_H-M_alt 'P 1'
_space_group_IT_number 1
_space_group_name_Hall 'P 1'
_cell_length_a 9.832
_cell_length_b 9.832
_cell_length_c 9.832
_cell_angle_alpha 21.89
_cell_angle_beta 21.89
_cell_angle_gamma 21.89
loop_
_atom_site_label
_atom_site_type_symbol
_atom_site_fract_x
_atom_site_fract_y
_atom_site_fract_z
_atom_site_occupancy
Pm1 Pm 0.000 0.000 0.000 1
Pm2 Pm 0.171 0.171 0.171 1
Cd1 Cd 0.419 0.419 0.419 1
Br1 Br 0.585 0.585 0.585 1
```



Entry 11:
VASP calculation (PBE) on an optimized crystal structure of Pm6CdBr8.

Calculated values
E_tot   -4.167 eV per atom
Calculated density   5.43 g/cm3
Formation energy (no corrections)   -1.3137 eV/atom
Total moment   0.00 μB per atom
V   495.6 Å³/cell
Space-group type   R-3

The structure in CIF format:
```
data_Pm6CdBr8
_chemical_formula_sum 'Pm6 Cd1 Br8'
_space_group_name_H-M_alt 'P 1'
_space_group_IT_number 1
_space_group_name_Hall 'P 1'
_cell_length_a 11.857
_cell_length_b 11.857
_cell_length_c 11.857
_cell_angle_alpha 35.23
_cell_angle_beta 35.23
_cell_angle_gamma 35.23
loop_
_atom_site_label
_atom_site_type_symbol
_atom_site_fract_x
_atom_site_fract_y
_atom_site_fract_z
_atom_site_occupancy
Pm1 Pm 0.054 0.387 0.720 1
Pm2 Pm 0.280 0.946 0.613 1
Pm3 Pm 0.387 0.720 0.054 1
Pm4 Pm 0.613 0.280 0.946 1
Pm5 Pm 0.720 0.054 0.387 1
Pm6 Pm 0.946 0.613 0.280 1
Cd1 Cd 0.000 0.000 0.000 1
Br1 Br 0.108 0.781 0.437 1
Br2 Br 0.219 0.563 0.892 1
Br3 Br 0.333 0.333 0.333 1
Br4 Br 0.437 0.108 0.781 1
Br5 Br 0.563 0.892 0.219 1
Br6 Br 0.667 0.667 0.667 1
Br7 Br 0.781 0.437 0.108 1
Br8 Br 0.892 0.219 0.563 1
```



Entry 12:
VASP calculation (PBE) on an optimized crystal structure of Pm2CdBr.

Calculated values
E_tot   -3.675 eV per atom
Calculated density   6.88 g/cm3
Formation energy (no corrections)   -0.6527 eV/atom
Polymorph energy (0 for the lowest one)   0.0000 eV/atom
Total moment   0.00 μB per atom
V   116.3 Å³/cell
Space-group type   R-3m

The structure in CIF format:
```
data_Pm2CdBr
_chemical_formula_sum 'Pm2 Cd1 Br1'
_space_group_name_H-M_alt 'P 1'
_space_group_IT_number 1
_space_group_name_Hall 'P 1'
_cell_length_a 9.764
_cell_length_b 9.764
_cell_length_c 9.764
_cell_angle_alpha 22.18
_cell_angle_beta 22.18
_cell_angle_gamma 22.18
loop_
_atom_site_label
_atom_site_type_symbol
_atom_site_fract_x
_atom_site_fract_y
_atom_site_fract_z
_atom_site_occupancy
Pm1 Pm 0.249 0.249 0.249 1
Pm2 Pm 0.751 0.751 0.751 1
Cd1 Cd 0.000 0.000 0.000 1
Br1 Br 0.500 0.500 0.500 1
```